VASP calculation (PBE-GGA) on a relaxed structure of DyHo2Al3CuNi2.

The value obtained for the total energy is -89.67 eV for the cell shown. For the total magnetic moment, the calculation gives 0.0 μB per formula unit.

It has space group Amm2 (No. 38), with a = 3.911 Å, b = 12.017 Å, c = 6.940 Å, α = 90.00°, β = 90.00° and γ = 90.00°. The inequivalent atoms are Dy at (0.000, 0.000, 0.000), Ho at (0.000, 0.209, 0.627), Al at (0.500, 0.000, 0.659), Al at (0.500, 0.120, 0.298), Cu at (0.000, 0.000, 0.419) and Ni at (0.500, 0.167, 0.918).


VASP calculation (PBE-GGA) on a relaxed structure of Dy2HoAl3Cu2Pd.

The value obtained for the total energy is -85.75 eV for the cell shown. For the total magnetic moment, the calculation gives 0.0 μB per formula unit.

It has space group Amm2 (No. 38), with a = 4.009 Å, b = 12.274 Å, c = 7.081 Å, α = 90.00°, β = 90.00° and γ = 90.00°. The inequivalent atoms are Dy at (0.000, 0.209, 0.000), Ho at (0.000, 0.000, 0.372), Al at (0.500, 0.000, 0.032), Al at (0.500, 0.120, 0.670), Cu at (0.500, 0.166, 0.291) and Pd at (0.000, 0.000, 0.790).


VASP calculation (PBE-GGA) on a relaxed structure of DyHo2Al3CuSi2.

The value obtained for the total energy is -90.56 eV for the cell shown. For the total magnetic moment, the calculation gives 0.0 μB per formula unit.

It has space group Amm2 (No. 38), with a = 4.162 Å, b = 11.948 Å, c = 6.894 Å, α = 90.00°, β = 90.00° and γ = 90.00°. The inequivalent atoms are Dy at (0.000, 0.000, 0.000), Ho at (0.000, 0.203, 0.391), Al at (0.500, 0.000, 0.356), Al at (0.500, 0.119, 0.712), Cu at (0.000, 0.000, 0.593) and Si at (0.500, 0.167, 0.094).


VASP calculation (PBE-GGA) on a relaxed structure of Dy2HoAl3CuSn2.

The value obtained for the total energy is -83.35 eV for the cell shown. For the total magnetic moment, the calculation gives 0.0 μB per formula unit.

It has space group Amm2 (No. 38), with a = 4.283 Å, b = 12.583 Å, c = 7.275 Å, α = 90.00°, β = 90.00° and γ = 90.00°. The inequivalent atoms are Dy at (0.000, 0.195, 0.000), Ho at (0.000, 0.000, 0.584), Al at (0.500, 0.000, 0.973), Al at (0.500, 0.111, 0.306), Cu at (0.000, 0.000, 0.196) and Sn at (0.500, 0.166, 0.695).


VASP calculation (PBE-GGA) on a relaxed structure of LaDy2Al7Cu2.

The value obtained for the total energy is -161.47 eV for the cell shown. For the total magnetic moment, the calculation gives 0.0 μB per formula unit.

It has space group R-3m (No. 166, hexagonal axes), with a = 5.5363 Å, b = 5.5363 Å, c = 25.6977 Å, α = 90.00°, β = 90.00° and γ = 120.00°. The inequivalent atoms are La at (0.0000, 0.0000, 0.0000), Dy at (0.0000, 0.0000, 0.1419), Al at (0.0000, 0.0000, 0.5000), Al at (0.0065, 0.5032, 0.9202) and Cu at (0.0000, 0.0000, 0.3353).


VASP calculation (PBE-GGA) on a relaxed structure of La2DyAl3Cu2Ni.

The value obtained for the total energy is -85.41 eV for the cell shown. For the total magnetic moment, the calculation gives 0.0 μB per formula unit.

It has space group Amm2 (No. 38), with a = 4.145 Å, b = 12.559 Å, c = 7.030 Å, α = 90.00°, β = 90.00° and γ = 90.00°. The inequivalent atoms are La at (0.000, 0.207, 0.000), Dy at (0.000, 0.000, 0.618), Al at (0.500, 0.000, 0.981), Al at (0.500, 0.109, 0.325), Cu at (0.500, 0.159, 0.704) and Ni at (0.000, 0.000, 0.215).


VASP calculation (PBE-GGA) on a relaxed structure of DyLu2Al7Cu2.

The value obtained for the total energy is -158.82 eV for the cell shown. For the total magnetic moment, the calculation gives 0.0 μB per formula unit.

It has space group R-3m (No. 166, hexagonal axes), with a = 5.4387 Å, b = 5.4387 Å, c = 25.2762 Å, α = 90.00°, β = 90.00° and γ = 120.00°. The inequivalent atoms are Dy at (0.0000, 0.0000, 0.0000), Lu at (0.0000, 0.0000, 0.1423), Al at (0.0000, 0.0000, 0.5000), Al at (0.0061, 0.5030, 0.9206) and Cu at (0.0000, 0.0000, 0.3351).


VASP calculation (PBE-GGA) on a relaxed structure of Dy2LuAl7Cu2.

The value obtained for the total energy is -158.82 eV for the cell shown. For the total magnetic moment, the calculation gives 0.0 μB per formula unit.

It has space group R-3m (No. 166, hexagonal axes), with a = 5.4664 Å, b = 5.4664 Å, c = 25.3315 Å, α = 90.00°, β = 90.00° and γ = 120.00°. The inequivalent atoms are Dy at (0.0000, 0.0000, 0.1419), Lu at (0.0000, 0.0000, 0.0000), Al at (0.0000, 0.0000, 0.5000), Al at (0.0061, 0.5031, 0.9216) and Cu at (0.0000, 0.0000, 0.3352).


VASP calculation (PBE-GGA) on a relaxed structure of DyMg4AlCu2.

The value obtained for the total energy is -34.65 eV for the cell shown. For the total magnetic moment, the calculation gives 0.0 μB per formula unit.

It has space group Amm2 (No. 38), with a = 6.168 Å, b = 5.459 Å, c = 14.618 Å, α = 90.00°, β = 90.00° and γ = 90.00°. The inequivalent atoms are Dy at (0.000, 0.000, 0.000), Mg at (0.253, 0.000, 0.782), Mg at (0.265, 0.000, 0.344), Al at (0.000, 0.000, 0.488), Cu at (0.000, 0.000, 0.197) and Cu at (0.000, 0.000, 0.646).


VASP calculation (PBE-GGA) on a relaxed structure of NdDy2Al3Cu3.

The value obtained for the total energy is -80.38 eV for the cell shown. For the total magnetic moment, the calculation gives 0.0 μB per formula unit.

It has space group Amm2 (No. 38), with a = 4.042 Å, b = 12.204 Å, c = 7.117 Å, α = 90.00°, β = 90.00° and γ = 90.00°. The inequivalent atoms are Nd at (0.000, 0.000, 0.000), Dy at (0.000, 0.208, 0.622), Al at (0.500, 0.000, 0.648), Al at (0.500, 0.118, 0.302), Cu at (0.000, 0.000, 0.421) and Cu at (0.500, 0.171, 0.914).


VASP calculation (PBE-GGA) on a relaxed structure of NdDy2Al3Cu2Ni.

The value obtained for the total energy is -85.01 eV for the cell shown. For the total magnetic moment, the calculation gives 0.0 μB per formula unit.

It has space group Amm2 (No. 38), with a = 4.027 Å, b = 12.113 Å, c = 7.078 Å, α = 90.00°, β = 90.00° and γ = 90.00°. The inequivalent atoms are Nd at (0.000, 0.000, 0.000), Dy at (0.000, 0.206, 0.619), Al at (0.500, 0.000, 0.640), Al at (0.500, 0.116, 0.303), Cu at (0.500, 0.172, 0.912) and Ni at (0.000, 0.000, 0.420).


VASP calculation (PBE-GGA) on a relaxed structure of NdDy2Al3Cu2Pd.

The value obtained for the total energy is -85.63 eV for the cell shown. For the total magnetic moment, the calculation gives 0.0 μB per formula unit.

It has space group Amm2 (No. 38), with a = 4.135 Å, b = 12.221 Å, c = 7.157 Å, α = 90.00°, β = 90.00° and γ = 90.00°. The inequivalent atoms are Nd at (0.000, 0.000, 0.000), Dy at (0.000, 0.210, 0.629), Al at (0.500, 0.000, 0.656), Al at (0.500, 0.119, 0.305), Cu at (0.500, 0.171, 0.918) and Pd at (0.000, 0.000, 0.427).